Computed, not measured: a relaxed Ac6PSe12 crystal at the PBE level of DFT.

a = 8.633 Å, b = 8.633 Å, c = 8.633 Å
α = 98.36°, β = 98.36°, γ = 98.36°
Fractional coordinates of all 19 atoms:
1 Ac 0.702 0.865 0.371
2 Ac 0.629 0.298 0.135
3 Ac 0.135 0.629 0.298
4 Ac 0.298 0.135 0.629
5 Ac 0.371 0.702 0.865
6 Ac 0.865 0.371 0.702
7 P 0.000 0.000 0.000
8 Se 0.819 0.556 0.417
9 Se 0.417 0.819 0.556
10 Se 0.556 0.417 0.819
11 Se 0.181 0.444 0.583
12 Se 0.583 0.181 0.444
13 Se 0.444 0.583 0.181
14 Se 0.049 0.980 0.298
15 Se 0.020 0.702 0.951
16 Se 0.702 0.951 0.020
17 Se 0.951 0.020 0.702
18 Se 0.980 0.298 0.049
19 Se 0.298 0.049 0.980

Output
crystal system = trigonal
spin magnetization = 0.003 μB/f.u.
energy relative to the elements, uncorrected = -1.47 eV/atom